# 1
The following is a DFT calculation (PBE) of an optimized crystal structure of FeSi2Rh.

Cell lengths 4.155, 4.155, 2.795 Å; angles 90.00, 90.00, 95.88 degrees
Positions (direct):
Fe 0.500 0.000 0.500
Rh 0.000 0.500 0.500
Si 0.000 0.000 0.000
Si 0.500 0.500 0.000

Calculated values
N(E_F)	1.8	states/eV/f.u.
calculated total energy	-7.093	eV per atom
M_tot	0.0	μB/f.u.
uncorrected formation energy	-428	meV/atom

***

# 2
The following is a DFT calculation (PBE) of an optimized crystal structure of Fe2SiRh.

Cell lengths 3.540, 2.729, 5.447 Å; angles 75.27, 90.00, 90.00 degrees
Positions (direct):
Fe 0.000 0.950 0.975
Fe 0.500 0.315 0.242
Rh 0.000 0.687 0.496
Si 0.500 0.548 0.786

Calculated values
N(E_F)	3.4	states/eV/f.u.
calculated total energy	-7.669	eV per atom
M_tot	5.0	μB/f.u.
uncorrected formation energy	-244	meV/atom

***

# 3
The following is a DFT calculation (PBE) of an optimized crystal structure of FeSi2Rh.

Cell lengths 3.823, 3.823, 8.142 Å; angles 76.42, 76.42, 90.00 degrees
Positions (direct):
Si 0.592 0.125 0.250
Si 0.158 0.625 0.250
Si 0.375 0.408 0.750
Si 0.875 0.842 0.750
Rh 0.000 0.000 0.000
Rh 0.750 0.250 0.500
Fe 0.500 0.500 0.000
Fe 0.250 0.750 0.500

Calculated values
N(E_F)	4.5	states/eV/f.u.
calculated total energy	-6.712	eV per atom
M_tot	0.0	μB/f.u.
uncorrected formation energy	-47	meV/atom

***

# 4
The following is a DFT calculation (PBE) of an optimized crystal structure of FeSi4Rh.

Cell lengths 4.845, 4.845, 4.845 Å; angles 60.00, 60.00, 60.00 degrees
Positions (direct):
Fe 0.750 0.750 0.750
Si 0.875 0.375 0.375
Si 0.375 0.375 0.875
Si 0.375 0.875 0.375
Si 0.375 0.375 0.375
Rh 0.000 0.000 0.000

Calculated values
N(E_F)	3.9	states/eV/f.u.
calculated total energy	-5.873	eV per atom
M_tot	2.0	μB/f.u.
uncorrected formation energy	378	meV/atom

***

# 5
The following is a DFT calculation (PBE) of an optimized crystal structure of Fe2SiRh.

Cell lengths 4.491, 4.491, 2.695 Å; angles 90.09, 90.09, 113.53 degrees
Positions (direct):
Fe 0.000 0.000 0.000
Fe 0.500 0.500 0.000
Rh 0.500 0.000 0.500
Si 0.000 0.500 0.500

Calculated values
N(E_F)	4.3	states/eV/f.u.
calculated total energy	-7.610	eV per atom
M_tot	4.8	μB/f.u.
uncorrected formation energy	-185	meV/atom

***

# 6
The following is a DFT calculation (PBE) of an optimized crystal structure of Fe2SiRh.

Cell lengths 3.494, 3.494, 9.204 Å; angles 79.06, 79.06, 90.00 degrees
Positions (direct):
Si 0.500 0.500 0.000
Si 0.250 0.750 0.500
Rh 0.000 0.000 0.000
Rh 0.750 0.250 0.500
Fe 0.602 0.125 0.250
Fe 0.148 0.625 0.250
Fe 0.375 0.398 0.750
Fe 0.875 0.852 0.750

Calculated values
N(E_F)	3.3	states/eV/f.u.
calculated total energy	-7.352	eV per atom
M_tot	5.2	μB/f.u.
uncorrected formation energy	73	meV/atom

***

# 7
The following is a DFT calculation (PBE) of an optimized crystal structure of FeSi3Rh.

Cell lengths 4.248, 4.248, 4.248 Å; angles 90.00, 90.00, 90.00 degrees
Positions (direct):
Si 0.000 0.500 0.000
Si 0.000 0.000 0.500
Si 0.500 0.000 0.000
Rh 0.500 0.500 0.500
Fe 0.000 0.000 0.000

Calculated values
N(E_F)	2.2	states/eV/f.u.
calculated total energy	-6.074	eV per atom
relative energy among the computed polymorphs	0.00	eV per formula unit
M_tot	0.0	μB/f.u.
uncorrected formation energy	343	meV/atom

***

# 8
The following is a DFT calculation (PBE) of an optimized crystal structure of Fe2SiRh.

Cell lengths 3.796, 2.656, 5.360 Å; angles 66.82, 90.00, 90.00 degrees
Positions (direct):
Fe 0.000 0.972 0.986
Fe 0.000 0.528 0.514
Rh 0.500 0.250 0.250
Si 0.500 0.750 0.750

Calculated values
N(E_F)	3.5	states/eV/f.u.
calculated total energy	-7.638	eV per atom
M_tot	5.0	μB/f.u.
uncorrected formation energy	-213	meV/atom

***

# 9
The following is a DFT calculation (PBE) of an optimized crystal structure of FeSiRh3.

Cell lengths 4.352, 4.352, 4.352 Å; angles 90.00, 90.00, 90.00 degrees
Positions (direct):
Si 0.000 0.000 0.000
Rh 0.000 0.500 0.000
Rh 0.000 0.000 0.500
Rh 0.500 0.000 0.000
Fe 0.500 0.500 0.500

Calculated values
N(E_F)	10.1	states/eV/f.u.
calculated total energy	-6.468	eV per atom
relative energy among the computed polymorphs	0.00	eV per formula unit
M_tot	0.5	μB/f.u.
uncorrected formation energy	720	meV/atom

***

# 10
The following is a DFT calculation (PBE) of an optimized crystal structure of Fe2SiRh.

Cell lengths 7.917, 7.917, 7.917 Å; angles 19.78, 19.78, 19.78 degrees
Positions (direct):
Fe 0.004 0.004 0.004
Fe 0.254 0.254 0.254
Rh 0.495 0.495 0.495
Si 0.747 0.747 0.747

Calculated values
N(E_F)	3.4	states/eV/f.u.
calculated total energy	-7.555	eV per atom
M_tot	3.8	μB/f.u.
uncorrected formation energy	-130	meV/atom

***

# 11
The following is a DFT calculation (PBE) of an optimized crystal structure of FeSiRh3.

Cell lengths 4.448, 4.448, 4.448 Å; angles 90.00, 90.00, 90.00 degrees
Positions (direct):
Si 0.500 0.500 0.500
Rh 0.000 0.500 0.000
Rh 0.000 0.000 0.500
Rh 0.500 0.000 0.000
Fe 0.000 0.000 0.000

Calculated values
N(E_F)	4.5	states/eV/f.u.
calculated total energy	-6.131	eV per atom
relative energy among the computed polymorphs	1.69	eV per formula unit
M_tot	3.5	μB/f.u.
uncorrected formation energy	1057	meV/atom

***

# 12
The following is a DFT calculation (PBE) of an optimized crystal structure of Fe2SiRh.

Cell lengths 2.699, 2.699, 6.307 Å; angles 90.00, 90.00, 90.00 degrees
Positions (direct):
Fe 0.000 0.000 0.967
Fe 0.000 0.000 0.533
Rh 0.500 0.500 0.250
Si 0.500 0.500 0.750

Calculated values
N(E_F)	4.5	states/eV/f.u.
calculated total energy	-7.597	eV per atom
M_tot	0.0	μB/f.u.
uncorrected formation energy	-172	meV/atom

***

> Number 9 is which compound?

FeSiRh3

***

> Which of these has the lowest calculated total energy?

number 2

***

Repeat the eighth record exactly.
The following is a DFT calculation (PBE) of an optimized crystal structure of Fe2SiRh.

Cell lengths 3.796, 2.656, 5.360 Å; angles 66.82, 90.00, 90.00 degrees
Positions (direct):
Fe 0.000 0.972 0.986
Fe 0.000 0.528 0.514
Rh 0.500 0.250 0.250
Si 0.500 0.750 0.750

Calculated values
N(E_F)	3.5	states/eV/f.u.
calculated total energy	-7.638	eV per atom
M_tot	5.0	μB/f.u.
uncorrected formation energy	-213	meV/atom

***

> Which of these has the highest calculated total energy?

FeSi4Rh